(1)
A plane-wave DFT calculation with PBE was carried out for a relaxed structure of TiGePd2.

Results
Total magnetization: 0.00 μB per formula unit
Calculated formation energy: -0.5031 eV/atom
Crystal system: tetragonal
Calculated total energy: -6.228 eV/atom
D(E_F): 3.84 states/eV/f.u.

abc: 3.910 3.910 4.034
angles: 90.00 90.00 90.00
Fractional positions:
Ti 0.000 0.000 0.000
Ge 0.500 0.500 0.000
Pd 0.000 0.500 0.500
Pd 0.500 0.000 0.500

***

(2)
A plane-wave DFT calculation with PBE was carried out for a relaxed structure of RuPt.

Results
Total magnetization: 0.00 μB per formula unit
Calculated formation energy: -0.0069 eV/atom
Crystal system: orthorhombic
Calculated total energy: -7.665 eV/atom
D(E_F): 2.06 states/eV/f.u.

abc: 2.746 3.860 5.575
angles: 90.00 90.00 90.00
Fractional positions:
Ru 0.250 0.250 0.112
Ru 0.750 0.750 0.888
Pt 0.250 0.250 0.632
Pt 0.750 0.750 0.368

***

(3)
A plane-wave DFT calculation with PBE was carried out for a relaxed structure of AcLaBeGa.

Results
Total magnetization: 0.00 μB per formula unit
Calculated formation energy: -0.0827 eV/atom
Crystal system: cubic
Calculated total energy: -4.030 eV/atom
D(E_F): 4.13 states/eV/f.u.

abc: 5.336 5.336 5.336
angles: 60.00 60.00 60.00
Fractional positions:
Ac 0.000 0.000 0.000
La 0.500 0.500 0.500
Be 0.250 0.250 0.250
Ga 0.750 0.750 0.750

***

(4)
A plane-wave DFT calculation with PBE was carried out for a relaxed structure of Tb3GaCo3.

Results
Total magnetization: 0.00 μB per formula unit
Calculated formation energy: -0.3406 eV/atom
Crystal system: orthorhombic
Calculated total energy: -5.803 eV/atom
D(E_F): 7.42 states/eV/f.u.

abc: 5.414 5.414 12.938
angles: 90.00 90.00 135.89
Fractional positions:
Tb 0.006 0.994 0.750
Tb 0.293 0.707 0.604
Tb 0.293 0.707 0.896
Tb 0.707 0.293 0.104
Tb 0.707 0.293 0.396
Tb 0.994 0.006 0.250
Ga 0.000 0.000 0.000
Ga 0.000 0.000 0.500
Co 0.294 0.706 0.250
Co 0.417 0.583 0.094
Co 0.417 0.583 0.406
Co 0.583 0.417 0.594
Co 0.583 0.417 0.906
Co 0.706 0.294 0.750